#one
Computed, not measured: an optimized crystal structure of UNiB4 at the PBE level of DFT.

Lattice parameters (Å, degrees): 6.778 6.778 6.778 113.12 113.12 102.40
Each line ends with the local moment (μB).
Fractional coordinates of all 24 atoms:
U  0.196  0.196  0.000  1.29
U  0.804  0.804  0.000  1.29
U  0.750  0.250  0.500  1.27
U  0.250  0.750  0.500  1.27
Ni  0.500  0.273  0.773  0.07
Ni  0.500  0.727  0.227  0.07
Ni  0.727  0.500  0.227  0.07
Ni  0.273  0.500  0.773  0.07
B  0.111  0.275  0.386  -0.01
B  0.889  0.725  0.614  -0.01
B  0.889  0.275  0.165  -0.01
B  0.111  0.725  0.835  -0.01
B  0.725  0.889  0.614  -0.01
B  0.275  0.111  0.386  -0.01
B  0.725  0.111  0.835  -0.01
B  0.275  0.889  0.165  -0.01
B  0.423  0.423  0.536  -0.02
B  0.887  0.887  0.464  -0.02
B  0.577  0.113  0.000  -0.02
B  0.113  0.577  0.000  -0.02
B  0.577  0.577  0.464  -0.02
B  0.113  0.113  0.536  -0.02
B  0.887  0.423  0.000  -0.02
B  0.423  0.887  0.000  -0.02

Summary:
The total moment is 5.583 μB per cell.


#two
Computed, not measured: an optimized crystal structure of UNiB4 at the PBE level of DFT.

Lattice parameters (Å, degrees): 3.410 5.897 11.439 90.00 90.00 90.00
Each line ends with the local moment (μB).
Fractional coordinates of all 24 atoms:
U  0.000  0.625  0.349  0.86
U  0.000  0.375  0.651  0.86
U  0.000  0.125  0.151  0.86
U  0.000  0.875  0.849  0.86
Ni  0.000  0.629  0.086  0.00
Ni  0.000  0.371  0.914  0.00
Ni  0.000  0.129  0.414  0.00
Ni  0.000  0.871  0.586  0.00
B  0.500  0.784  0.187  -0.01
B  0.500  0.216  0.813  -0.01
B  0.500  0.284  0.313  -0.01
B  0.500  0.716  0.687  -0.01
B  0.500  0.867  0.033  -0.01
B  0.500  0.133  0.967  -0.01
B  0.500  0.367  0.467  -0.01
B  0.500  0.633  0.533  -0.01
B  0.500  0.886  0.453  -0.01
B  0.500  0.114  0.547  -0.01
B  0.500  0.386  0.047  -0.01
B  0.500  0.614  0.953  -0.01
B  0.500  0.971  0.306  -0.01
B  0.500  0.029  0.694  -0.01
B  0.500  0.471  0.194  -0.01
B  0.500  0.529  0.806  -0.01

Summary:
The total moment is 3.584 μB per cell.


Least stable structure: #two


#one
Computed, not measured: an optimized crystal structure of UNi2B2 at the PBE level of DFT.

Lattice parameters (Å, degrees): 3.189 3.982 9.084 102.66 100.11 90.00
Each line ends with the local moment (μB).
Fractional coordinates of all 10 atoms:
U  0.818  0.568  0.635  0.64
U  0.182  0.432  0.365  0.64
Ni  0.560  0.310  0.120  0.03
Ni  0.948  0.198  0.895  0.06
Ni  0.440  0.690  0.880  0.03
Ni  0.052  0.802  0.105  0.06
B  0.724  0.974  0.447  -0.01
B  0.276  0.026  0.553  -0.01
B  0.378  0.128  0.757  0.00
B  0.622  0.872  0.243  0.00

Summary:
The total moment is 1.456 μB per cell.


#two
Computed, not measured: an optimized crystal structure of UNi2B2 at the PBE level of DFT.

Lattice parameters (Å, degrees): 3.152 3.969 4.974 104.54 108.47 90.00
Each line ends with the local moment (μB).
Fractional coordinates of all 5 atoms:
U  0.000  0.000  0.000  0.35
Ni  0.647  0.552  0.294  0.01
Ni  0.353  0.448  0.706  0.01
B  0.266  0.906  0.532  0.00
B  0.734  0.094  0.468  0.00

Summary:
The total moment is 0.408 μB per cell.


Least stable structure: #two


#one
Computed, not measured: an optimized crystal structure of UNiB at the PBE level of DFT.

Lattice parameters (Å, degrees): 2.705 2.705 5.473 104.31 104.31 90.00
Fractional coordinates of all 3 atoms:
Ni  0.287  0.287  0.574
B  0.703  0.703  0.406
U  0.010  0.010  0.020

Summary:
The total moment is 0.000 μB per cell.


#two
Computed, not measured: an optimized crystal structure of UNiB at the PBE level of DFT.

Lattice parameters (Å, degrees): 4.643 4.424 4.972 75.82 62.17 58.35
Each line ends with the local moment (μB).
Fractional coordinates of all 6 atoms:
B  0.750  0.500  0.500  -0.01
B  0.250  0.500  0.500  -0.01
U  0.832  0.335  0.000  0.82
U  0.168  0.665  0.000  0.82
Ni  0.680  0.000  0.640  0.06
Ni  0.320  0.000  0.360  0.06

Summary:
The total moment is 1.752 μB per cell.


Least stable structure: #two